1.
A plane-wave DFT calculation with GGA-PBE was carried out for NbHI2 after structural relaxation.

Output
* total magnetization: 0.64 μB per cell
* energy: -4.1558 eV/atom

Cell: 3.584 3.584 8.509 Å, 77.94 89.63 60.01°
Space group P1 (No. 1)
One atom of each set of equivalent atoms:
Nb (0.000, 0.000, 0.000) (multiplicity 1)
H (0.333, 0.333, 0.000) (multiplicity 1)
I (0.586, 0.836, 0.739) (multiplicity 1)
I (0.748, 0.496, 0.261) (multiplicity 1)

2.
A plane-wave DFT calculation with GGA-PBE was carried out for NdTmH2I4 after structural relaxation.

Output
* total magnetization: 0.00 μB per cell
* energy: -3.9493 eV/atom

Cell: 4.0393 4.0393 16.5928 Å, 90.00 90.00 120.00°
Space group P-6m2 (No. 187)
One atom of each set of equivalent atoms:
Nd (0.0000, 0.0000, 0.0000) (multiplicity 1)
Tm (0.0000, 0.0000, 0.5000) (multiplicity 1)
H (0.3333, 0.6667, 0.5000) (multiplicity 1)
H (0.6667, 0.3333, 0.0000) (multiplicity 1)
I (0.3333, 0.6667, 0.1321) (multiplicity 2)
I (0.6667, 0.3333, 0.3759) (multiplicity 2)